1.
DFT (PBE) results for HgPSeS2 after structural relaxation.

Space-group type   No. 2

Geometry as POSCAR:
```
HgPSeS2
1.0
6.433 0.000 0.000
-3.091 5.682 0.000
-0.608 -2.828 7.032
S Hg Se P
4 2 2 2
Direct
0.345 0.092 0.202
0.850 0.494 0.699
0.150 0.506 0.301
0.655 0.908 0.798
0.746 0.126 0.359
0.254 0.874 0.641
0.757 0.714 0.257
0.243 0.286 0.743
0.563 0.547 0.661
0.437 0.453 0.339
```

2.
DFT (PBE) results for HgPSe2S after structural relaxation.

Space-group type   No. 2

Geometry as POSCAR:
```
HgPSe2S
1.0
-5.286 3.662 0.717
-4.868 -0.459 -4.451
-4.804 -5.916 1.543
Se Hg S P
4 2 2 2
Direct
0.958 0.281 0.268
0.254 0.072 0.808
0.042 0.719 0.732
0.746 0.928 0.192
0.624 0.123 0.653
0.376 0.877 0.347
0.640 0.507 0.696
0.360 0.493 0.304
0.024 0.540 0.343
0.976 0.460 0.657
```

3.
DFT (PBE) results for HgTe2PS after structural relaxation.

Space-group type   No. 2

Geometry as POSCAR:
```
HgTe2PS
1.0
-1.865 -0.924 -6.332
6.847 -0.931 1.255
-2.246 -6.628 3.757
Te Hg P S
4 2 2 2
Direct
0.523 0.129 0.276
0.477 0.871 0.724
0.705 0.748 0.233
0.295 0.252 0.767
0.850 0.216 0.625
0.150 0.784 0.375
0.446 0.449 0.346
0.554 0.551 0.654
0.115 0.392 0.237
0.885 0.608 0.763
```

4.
DFT (PBE) results for Sr2HgSbP after structural relaxation.

Space-group type   No. 36

Geometry as POSCAR:
```
Sr2HgSbP
1.0
4.896 1.026 -7.108
-7.242 -3.023 3.737
-3.684 6.924 -1.539
Sr P Hg Sb
4 2 2 2
Direct
0.035 0.965 0.250
0.221 0.779 0.644
0.965 0.035 0.750
0.779 0.221 0.144
0.172 0.828 0.009
0.828 0.172 0.509
0.405 0.595 0.421
0.595 0.405 0.921
0.423 0.577 0.042
0.577 0.423 0.542
```

5.
DFT (PBE) results for HgTePSe2 after structural relaxation.

Space-group type   No. 2

Geometry as POSCAR:
```
HgTePSe2
1.0
6.744 0.000 0.000
3.346 5.959 0.000
1.152 3.035 7.607
Se Te P Hg
4 2 2 2
Direct
0.382 0.488 0.306
0.618 0.512 0.694
0.976 0.272 0.288
0.024 0.728 0.712
0.750 0.947 0.186
0.250 0.053 0.814
0.968 0.469 0.649
0.032 0.531 0.351
0.618 0.124 0.648
0.382 0.876 0.352
```

6.
DFT (PBE) results for SiHgP2 after structural relaxation.

Space-group type   No. 122

Geometry as POSCAR:
```
SiHgP2
1.0
-2.849 2.849 5.338
2.849 -2.849 5.338
2.849 2.849 -5.338
P Si Hg
4 2 2
Direct
0.170 0.625 0.045
0.875 0.830 0.455
0.375 0.420 0.545
0.580 0.125 0.955
0.250 0.750 0.500
0.500 0.500 0.000
0.000 0.000 0.000
0.750 0.250 0.500
```

7.
DFT (PBE) results for SiHgP2 after structural relaxation.

Space-group type   No. 225

Geometry as POSCAR:
```
SiHgP2
1.0
4.012 -1.281 -1.949
1.263 -4.465 0.010
-0.013 -2.424 -3.957
Hg Si P
1 1 2
Direct
0.000 0.000 0.000
0.500 0.500 0.500
0.250 0.250 0.250
0.750 0.750 0.750
```

8.
DFT (PBE) results for SiSnHg2P4 after structural relaxation.

Space-group type   No. 82

Geometry as POSCAR:
```
SiSnHg2P4
1.0
-2.923 2.923 5.595
2.923 -2.923 5.595
2.923 2.923 -5.595
Si Hg Sn P
1 2 1 4
Direct
0.000 0.000 0.000
0.750 0.250 0.500
0.500 0.500 0.000
0.250 0.750 0.500
0.340 0.345 0.452
0.655 0.108 0.995
0.892 0.887 0.548
0.113 0.660 0.005
```

9.
DFT (PBE) results for Sr2HgP2 after structural relaxation.

Space-group type   No. 63

Geometry as POSCAR:
```
Sr2HgP2
1.0
-4.917 1.370 2.566
4.910 -1.973 2.155
3.772 10.917 1.401
Sr P Hg
4 4 2
Direct
0.353 0.647 0.905
0.647 0.353 0.095
0.647 0.353 0.405
0.353 0.647 0.595
0.336 0.664 0.346
0.664 0.336 0.846
0.664 0.336 0.654
0.336 0.664 0.154
0.009 0.991 0.750
0.991 0.009 0.250
```

10.
DFT (PBE) results for Hg2TeP4 after structural relaxation.

Space-group type   No. 156

Geometry as POSCAR:
```
Hg2TeP4
1.0
-1.056 1.205 -3.705
0.001 -2.639 -3.054
-12.477 -2.993 2.585
P Hg Te
4 2 1
Direct
0.000 0.000 0.524
0.000 0.000 0.074
0.667 0.667 0.110
0.667 0.667 0.728
0.333 0.333 0.637
0.666 0.666 0.914
0.000 0.000 0.346
```

Energy values (in eV per atom) by entry order: -3.655 -3.500 -3.269 -3.456 -3.220 -4.190 -3.371 -3.961 -3.453 -3.164.